1.
This record from Alexandria describes crystalline MgNi3O at its relaxed geometry. The functional is PBE with a Hubbard U.

Calculated values
- space-group type = Pm-3m (221)
- crystal system = cubic

```
MgNi3O
1.0
3.835 0.000 0.000
0.000 3.835 0.000
0.000 0.000 3.835
Mg Ni O
1 3 1
Cartesian
0.000 0.000 0.000
0.000 1.918 1.918
1.918 0.000 1.918
1.918 1.918 0.000
1.918 1.918 1.918
```

2.
This record from Alexandria describes crystalline Mg5Ni3O8 at its relaxed geometry. The functional is PBE with a Hubbard U.

Calculated values
- space-group type = R-3m (166)
- crystal system = trigonal

```
Mg5Ni3O8
1.0
3.000 1.732 4.876
-3.000 1.732 4.876
0.000 -3.464 4.876
Mg Ni O
5 3 8
Cartesian
0.000 0.000 0.000
-1.500 -0.866 4.876
-1.500 0.866 9.752
0.000 1.732 4.876
0.000 0.000 7.314
-3.000 0.000 7.314
-1.500 0.866 2.438
1.500 0.866 2.438
0.000 -1.724 6.084
-1.493 0.862 6.084
0.000 0.000 3.666
-1.493 -0.862 8.544
1.493 0.862 6.084
0.000 0.000 10.962
1.493 -0.862 8.544
0.000 1.724 8.544
```

Values for uncorrected energy, Ry/atom, ordered as above
-0.18957 -0.40919